(1)
Entry from Alexandria: a geometry-optimized ErSc2NbN4 structure (PBE).

Structure (extended XYZ):
```
8
Lattice="3.2156 0.0000 0.0000 0.0000 5.6066 0.1171 0.0000 -1.9427 5.2331" Properties=species:S:1:pos:R:3 pbc="T T T"
N 1.6078 2.7966 4.0068
N 0.0000 3.7899 1.4228
Nb 0.0000 0.0000 0.0000
Sc 1.6078 -0.9714 2.6166
Er 1.6078 2.8033 0.0586
N 0.0000 -0.1260 3.9274
N 1.6078 0.8672 1.3434
Sc 0.0000 1.8319 2.6751
```

Space-group type: P2/m
M_tot in μB/cell: 0.00
Crystal system: monoclinic
Final energy in eV per atom: -9.226
Fermi-level density of states in states/eV per atom: 0.286

(2)
Entry from Alexandria: a geometry-optimized Tb2Co3Tc structure (PBE).

Structure (extended XYZ):
```
12
Lattice="-2.5645 -4.4958 -0.7514 3.9859 1.2917 -3.1302 5.1593 -3.7802 5.0098" Properties=species:S:1:pos:R:3 pbc="T T T"
Tb 6.6397 -4.1818 2.3599
Tc 0.0000 0.0000 0.0000
Tb -0.0590 -2.8026 -1.2316
Tc 2.5797 -1.8901 2.5049
Co 2.1820 -1.2606 0.0956
Co 2.8998 -2.8788 -1.8647
Co 4.3988 -5.7238 1.0326
Co 3.6809 -4.1056 2.9930
Co 2.3857 -6.3762 2.6135
Co 4.1950 -0.6083 -1.4853
Tb 1.8766 -4.2209 0.6479
Tb 4.7041 -2.7636 0.4803
```

Space-group type: P6_3/mmc
M_tot in μB/cell: 0.00
Crystal system: hexagonal
Final energy in eV per atom: -6.969
Fermi-level density of states in states/eV per atom: 1.365
DFT formation energy in eV per atom: -0.14

(3)
Entry from Alexandria: a geometry-optimized RbCa2TlCl8 structure (PBE).

Structure (extended XYZ):
```
12
Lattice="-3.1977 4.9361 3.0974 -5.2119 -3.6800 0.7293 3.0564 -2.8172 7.6493" Properties=species:S:1:pos:R:3 pbc="T T T"
Ca -1.9065 -1.4900 7.6650
Ca -3.4467 -0.0712 3.8111
Cl -2.4368 0.6896 1.2293
Cl -3.8205 -2.5925 2.6354
Tl 0.0000 0.0000 0.0000
Cl -1.5327 1.0314 8.8406
Rb 1.5282 -1.4086 3.8246
Cl -2.9164 -2.2507 10.2467
Cl -4.2113 -1.0024 6.2696
Cl -2.0381 -4.2370 7.1026
Cl -1.1419 -0.5588 5.2064
Cl -3.3151 2.6758 4.3735
```

Space-group type: P2/m
M_tot in μB/cell: 0.00
Crystal system: monoclinic
Final energy in eV per atom: -3.543

(4)
Entry from Alexandria: a geometry-optimized P2OsPt structure (PBE).

Structure (extended XYZ):
```
4
Lattice="3.9831 -0.0058 -0.0114 -1.9388 4.3716 0.0087 0.1054 1.8132 3.5463" Properties=species:S:1:pos:R:3 pbc="T T T"
P 2.0442 0.9037 1.7675
Os 1.0221 2.1829 -0.0013
Pt -0.9167 3.0924 1.7775
P 0.0000 0.0000 0.0000
```

Space-group type: Fmmm
M_tot in μB/cell: 0.00
Crystal system: orthorhombic
Final energy in eV per atom: -6.768
Distance to the lowest polymorph of the same formula in meV/atom: 473
Fermi-level density of states in states/eV per atom: 0.809
DFT formation energy in eV per atom: 0.25